The following is a DFT calculation (GGA-PBE) of a geometry-optimized Ba2MnSb4Pd3 structure.

The structure belongs to space group P-4m2 (No. 115); the cell edges are 4.7562, 4.7562 and 11.1297 Å and the angles 90.00°, 90.00° and 90.00°. The inequivalent atoms are Ba at (0.0000, 0.5000, 0.2481), Mn at (0.5000, 0.5000, 0.0000), Sb at (0.0000, 0.0000, 0.5000), Sb at (0.0000, 0.5000, 0.8729), Sb at (0.5000, 0.5000, 0.5000), Pd at (0.0000, 0.0000, 0.0000) and Pd at (0.0000, 0.5000, 0.6239).

The value obtained for the formation energy from raw total energies is -0.70 eV/atom.